A plane-wave DFT calculation with GGA-PBEsol was carried out for an optimized crystal structure of SrLi2W.

```
data_SrLi2W
_chemical_formula_sum 'Sr1 Li2 W1'
_symmetry_space_group_name_H-M 'P 1'
_symmetry_Int_Tables_number 1
_cell_length_a 2.7479
_cell_length_b 4.7011
_cell_length_c 6.2300
_cell_angle_alpha 90.00
_cell_angle_beta 90.00
_cell_angle_gamma 90.00
loop_
_symmetry_equiv_pos_as_xyz
'x,y,z'
loop_
_atom_site_label
_atom_site_type_symbol
_atom_site_fract_x
_atom_site_fract_y
_atom_site_fract_z
_atom_site_occupancy
Sr1 Sr 0.0000 0.0000 0.0000 1
Li1 Li 0.0000 0.0000 0.4680 1
Li2 Li 0.5000 0.5000 0.7075 1
W1 W 0.5000 0.5000 0.2801 1
```

Values from the calculation:
M_tot ... 0.00 μB per atom
Energy of formation ... 0.89 eV/atom
E above lowest polymorph ... 0 meV/atom


A plane-wave DFT calculation with GGA-PBEsol was carried out for an optimized crystal structure of CaHg2Te.

```
data_CaHg2Te
_chemical_formula_sum 'Ca1 Hg2 Te1'
_symmetry_space_group_name_H-M 'P 1'
_symmetry_Int_Tables_number 1
_cell_length_a 6.6689
_cell_length_b 6.6689
_cell_length_c 6.6689
_cell_angle_alpha 142.44
_cell_angle_beta 142.44
_cell_angle_gamma 54.17
loop_
_symmetry_equiv_pos_as_xyz
'x,y,z'
loop_
_atom_site_label
_atom_site_type_symbol
_atom_site_fract_x
_atom_site_fract_y
_atom_site_fract_z
_atom_site_occupancy
Ca1 Ca 0.0000 0.0000 0.0000 1
Hg1 Hg 0.2500 0.7500 0.5000 1
Hg2 Hg 0.7500 0.2500 0.5000 1
Te1 Te 0.5000 0.5000 0.0000 1
```

Values from the calculation:
M_tot ... 0.00 μB per atom
Energy ... -2.358 eV per atom